First-principles (PBE) data for crystalline ZnSeNF2 at its relaxed geometry, as listed in Alexandria.

Fermi-level density of states, states/eV per cell: 2.14
Formation energy (no corrections), eV/atom: 0.010
Magnetic moment, μB/atom: 0.076
E, eV per atom: -3.3551

Unit cell a=4.5572 b=4.5572 c=3.6468 alpha=90.00 beta=90.00 gamma=90.00
Closest atoms and distances in Å follow each position.
Space group P4/mmm (No. 123)
Symmetry-distinct sites (fractional):
Zn  0.0000  0.0000  0.0000 [1 per cell]  8 F 2.92, 4 N 3.22
Se  0.5000  0.5000  0.5000 [1 per cell]  2 N 1.82
N  0.5000  0.5000  0.0000 [1 per cell]  2 Se 1.82
F  0.0000  0.5000  0.5000 [2 per cell]  2 Se 2.28